1.
The following is a DFT calculation (PBE-GGA) of a relaxed CaMgNi2 crystal.

Cell: 3.1575 3.1575 24.5377 Å, 90.00 90.00 120.00°
Space group R-3m (No. 166, hexagonal axes)
Unique sites:
Ca: 0.0000 0.0000 0.0000 x3
Mg: 0.0000 0.0000 0.5000 x3
Ni: 0.0000 0.0000 0.2445 x6

V (Å³ per atom): 17.655
Raw total energy (eV per atom): -3.495
Energy of formation (eV per atom): 0.2946

***

2.
The following is a DFT calculation (PBE-GGA) of a relaxed CaMg2Ni2 crystal.

Cell: 7.6729 7.6729 3.0088 Å, 90.00 90.00 90.00°
Space group P4/mbm (No. 127)
Unique sites:
Ca: 0.0000 0.0000 0.0000 x2
Mg: 0.1364 0.3636 0.5000 x4
Ni: 0.1572 0.6572 0.0000 x4

V (Å³ per atom): 17.714
Relative energy among the computed polymorphs (meV per atom): 43
Raw total energy (eV per atom): -3.419
Energy of formation (eV per atom): -0.0680

***

3.
The following is a DFT calculation (PBE-GGA) of a relaxed CaMgNi2 crystal.

Cell: 4.5038 4.5038 17.1577 Å, 90.00 90.00 90.00°
Space group I-42d (No. 122)
Unique sites:
Ca: 0.0000 0.0000 0.0000 x4
Mg: 0.0000 0.0000 0.5000 x4
Ni: 0.0661 0.2500 0.6250 x8

V (Å³ per atom): 21.752
Raw total energy (eV per atom): -3.538
Energy of formation (eV per atom): 0.2517

***

4.
The following is a DFT calculation (PBE-GGA) of a relaxed CaMg3Ni crystal.

Cell: 8.5086 12.6740 4.1580 Å, 90.00 90.00 90.00°
Space group Cmmm (No. 65)
Unique sites:
Ca: 0.0000 0.2042 0.0000 x4
Mg: 0.0000 0.0000 0.5000 x2
Mg: 0.0000 0.5000 0.0000 x2
Mg: 0.1996 0.3779 0.5000 x8
Ni: 0.1865 0.0000 0.0000 x4

V (Å³ per atom): 22.419
Relative energy among the computed polymorphs (meV per atom): 0
Raw total energy (eV per atom): -2.647
Energy of formation (eV per atom): -0.1332